This record from the Alexandria database describes an optimized crystal structure of SrY2ScNi. The functional is PBE.

Output
uncorrected energy = -5.38 eV/atom

```
data_SrY2ScNi
_cell_length_a 5.414
_cell_length_b 5.414
_cell_length_c 5.180
_cell_angle_alpha 90.00
_cell_angle_beta 90.00
_cell_angle_gamma 90.00
_space_group_name_H-M_alt 'P 4/m m m'
_space_group_IT_number 123
_space_group_name_Hall '-P 4 2'
loop_
_atom_site_label
_atom_site_type_symbol
_atom_site_fract_x
_atom_site_fract_y
_atom_site_fract_z
Sr1 Sr 0.000 0.000 0.000
Y1 Y 0.000 0.500 0.500
Sc1 Sc 0.500 0.500 0.000
Ni1 Ni 0.500 0.500 0.500
```